No. 1
# PBE TbPa2Ge3, relaxed
# volume	22.303	Å³ per atom
# energy of formation from the pure elements	-469	meV/atom
data_TbPa2Ge3
_chemical_formula_sum 'Tb4 Pa8 Ge12'
_space_group_name_H-M_alt 'P 1 21/c 1'
_space_group_IT_number 14
_cell_length_a 6.115
_cell_length_b 14.771
_cell_length_c 7.466
_cell_angle_alpha 90.00
_cell_angle_beta 127.47
_cell_angle_gamma 90.00
loop_
_space_group_symop_operation_xyz
'x,y,z'
'-x,-y,-z'
'-x,y+1/2,-z+1/2'
'x,-y+1/2,z+1/2'
loop_
_atom_site_label
_atom_site_type_symbol
_atom_site_fract_x
_atom_site_fract_y
_atom_site_fract_z
Tb1 Tb 0.244 0.091 0.371
Pa1 Pa 0.143 0.088 0.822
Pa2 Pa 0.351 0.728 0.401
Ge1 Ge 0.149 0.249 0.585
Ge2 Ge 0.307 0.575 0.636
Ge3 Ge 0.312 0.566 0.167

=====

No. 2
# PBE CePmEr2As4, relaxed
# volume	25.342	Å³ per atom
# energy of formation from the pure elements	-1497	meV/atom
data_CePmEr2As4
_chemical_formula_sum 'Ce1 Pm1 Er2 As4'
_space_group_name_H-M_alt 'P 1 2/m 1'
_space_group_IT_number 10
_cell_length_a 7.182
_cell_length_b 4.157
_cell_length_c 7.201
_cell_angle_alpha 90.00
_cell_angle_beta 109.45
_cell_angle_gamma 90.00
loop_
_space_group_symop_operation_xyz
'x,y,z'
'-x,-y,-z'
'-x,y,-z'
'x,-y,z'
loop_
_atom_site_label
_atom_site_type_symbol
_atom_site_fract_x
_atom_site_fract_y
_atom_site_fract_z
Ce1 Ce 0.000 0.000 0.000
Pm1 Pm 0.000 0.500 0.500
Er1 Er 0.500 0.000 0.500
Er2 Er 0.500 0.500 0.000
As1 As 0.258 0.000 0.755
As2 As 0.258 0.500 0.251

=====

No. 3
# PBE HgRhF2, relaxed
# volume	14.483	Å³ per atom
# excess energy over the best structure of this formula in the dataset	1.698	eV/f.u.
data_HgRhF2
_chemical_formula_sum 'Hg4 Rh4 F8'
_space_group_name_H-M_alt 'F m -3 m'
_space_group_IT_number 225
_space_group_name_Hall '-F 4 2 3'
_cell_length_a 6.142
_cell_length_b 6.142
_cell_length_c 6.142
_cell_angle_alpha 90.00
_cell_angle_beta 90.00
_cell_angle_gamma 90.00
loop_
_atom_site_label
_atom_site_type_symbol
_atom_site_fract_x
_atom_site_fract_y
_atom_site_fract_z
Hg1 Hg 0.000 0.000 0.000
Rh1 Rh 0.000 0.000 0.500
F1 F 0.250 0.250 0.250

=====

No. 4
# PBE SiRh3Au, relaxed
# volume	17.150	Å³ per atom
# excess energy over the best structure of this formula in the dataset	0.000	eV/f.u.
data_SiRh3Au
_chemical_formula_sum 'Si1 Rh3 Au1'
_space_group_name_H-M_alt 'P m -3 m'
_space_group_IT_number 221
_space_group_name_Hall '-P 4 2 3'
_cell_length_a 4.410
_cell_length_b 4.410
_cell_length_c 4.410
_cell_angle_alpha 90.00
_cell_angle_beta 90.00
_cell_angle_gamma 90.00
loop_
_atom_site_label
_atom_site_type_symbol
_atom_site_fract_x
_atom_site_fract_y
_atom_site_fract_z
Si1 Si 0.000 0.000 0.000
Rh1 Rh 0.000 0.000 0.500
Au1 Au 0.500 0.500 0.500

=====

No. 5
# PBE HfSnPd, relaxed
# volume	19.949	Å³ per atom
# energy of formation from the pure elements	-449	meV/atom
data_HfSnPd
_chemical_formula_sum 'Hf2 Sn2 Pd2'
_space_group_name_H-M_alt 'I 4 m m'
_space_group_IT_number 107
_space_group_name_Hall 'I 4 -2'
_cell_length_a 3.288
_cell_length_b 3.288
_cell_length_c 11.069
_cell_angle_alpha 90.00
_cell_angle_beta 90.00
_cell_angle_gamma 90.00
loop_
_atom_site_label
_atom_site_type_symbol
_atom_site_fract_x
_atom_site_fract_y
_atom_site_fract_z
Hf1 Hf 0.000 0.000 0.000
Sn1 Sn 0.000 0.000 0.308
Pd1 Pd 0.000 0.000 0.640

=====

No. 6
# PBE InSb2Ru, relaxed
# volume	31.201	Å³ per atom
# electronic total energy	-4.82	eV per atom
data_InSb2Ru
_chemical_formula_sum 'In4 Sb8 Ru4'
_space_group_name_H-M_alt 'I -4 2 d'
_space_group_IT_number 122
_space_group_name_Hall 'I -4 2bw'
_cell_length_a 6.338
_cell_length_b 6.338
_cell_length_c 12.426
_cell_angle_alpha 90.00
_cell_angle_beta 90.00
_cell_angle_gamma 90.00
loop_
_atom_site_label
_atom_site_type_symbol
_atom_site_fract_x
_atom_site_fract_y
_atom_site_fract_z
In1 In 0.000 0.000 0.000
Sb1 Sb 0.195 0.250 0.625
Ru1 Ru 0.000 0.000 0.500